VASP calculation (GGA-PBE) on a relaxed structure of Y2AlF.

For the calculated volume, the calculation gives 22.9 A^3/atom. The size of the total moment comes out at 0.0 μB per formula unit. The total energy is -5.87 eV/atom.

abc: 7.1017 7.1017 7.2580
angles: 90.00 90.00 90.00
Space group I-42d (No. 122)
Asymmetric unit:
Y 0.1729 0.2500 0.1250
Al 0.0000 0.0000 0.5000
F 0.0000 0.0000 0.0000

---

VASP calculation (GGA-PBE) on a relaxed structure of YAlF3.

For the calculated volume, the calculation gives 15.4 A^3/atom. The size of the total moment comes out at 1.0 μB per formula unit. The total energy is -5.11 eV/atom.

abc: 4.2580 4.2580 4.2580
angles: 90.00 90.00 90.00
Space group Pm-3m (No. 221)
Asymmetric unit:
Y 0.0000 0.0000 0.0000
Al 0.5000 0.5000 0.5000
F 0.0000 0.5000 0.5000

---

VASP calculation (GGA-PBE) on a relaxed structure of Y2AlF.

For the calculated volume, the calculation gives 23.0 A^3/atom. The size of the total moment comes out at 0.0 μB per formula unit. The total energy is -5.42 eV/atom.

abc: 3.2986 3.2986 29.2708
angles: 90.00 90.00 120.00
Space group R-3m (No. 166, hexagonal axes)
Asymmetric unit:
Y 0.0000 0.0000 0.1033
Al 0.0000 0.0000 0.0000
F 0.0000 0.0000 0.5000

---

VASP calculation (GGA-PBE) on a relaxed structure of Al3ZnF.

For the calculated volume, the calculation gives 17.6 A^3/atom. The size of the total moment comes out at 0.0 μB per formula unit. The total energy is -3.00 eV/atom.

abc: 4.4445 4.4445 4.4445
angles: 90.00 90.00 90.00
Space group Pm-3m (No. 221)
Asymmetric unit:
Al 0.0000 0.0000 0.5000
Zn 0.5000 0.5000 0.5000
F 0.0000 0.0000 0.0000

---

VASP calculation (GGA-PBE) on a relaxed structure of AlZnF5.

For the calculated volume, the calculation gives 12.0 A^3/atom. The size of the total moment comes out at 0.0 μB per formula unit. The total energy is -5.04 eV/atom.

abc: 3.5865 6.2934 7.4698
angles: 90.00 90.00 90.00
Space group Immm (No. 71)
Asymmetric unit:
Al 0.0000 0.0000 0.0000
Zn 0.0000 0.0000 0.5000
F 0.0000 0.0000 0.2423
F 0.0000 0.2929 0.0000
F 0.0000 0.5000 0.5000

---

VASP calculation (GGA-PBE) on a relaxed structure of AlZn2F8.

For the calculated volume, the calculation gives 11.5 A^3/atom. The size of the total moment comes out at 1.1 μB per formula unit. The total energy is -4.38 eV/atom.

abc: 8.5791 6.4593 4.8572
angles: 90.00 109.90 90.00
Space group C2/m (No. 12)
Asymmetric unit:
Al 0.0000 0.0000 0.0000
Zn 0.1907 0.5000 0.4017
F 0.0811 0.5000 0.7175
F 0.1244 0.1932 0.2631
F 0.1545 0.0000 0.8210

---

VASP calculation (GGA-PBE) on a relaxed structure of Al3ZnF.

For the calculated volume, the calculation gives 21.6 A^3/atom. The size of the total moment comes out at 0.0 μB per formula unit. The total energy is -2.74 eV/atom.

abc: 4.7595 4.7595 4.7595
angles: 90.00 90.00 90.00
Space group Pm-3m (No. 221)
Asymmetric unit:
Al 0.0000 0.0000 0.5000
Zn 0.0000 0.0000 0.0000
F 0.5000 0.5000 0.5000

---

VASP calculation (GGA-PBE) on a relaxed structure of AlZnF5.

For the calculated volume, the calculation gives 12.0 A^3/atom. The size of the total moment comes out at 0.0 μB per formula unit. The total energy is -5.04 eV/atom.

abc: 8.2589 6.2950 7.1906
angles: 90.00 115.70 90.00
Space group C2/c (No. 15)
Asymmetric unit:
Al 0.0000 0.0000 0.0000
Zn 0.0000 0.4930 0.2500
F 0.0000 0.0265 0.7500
F 0.0121 0.2912 0.4886
F 0.2426 0.0213 0.1223

---

VASP calculation (GGA-PBE) on a relaxed structure of AlZnF3.

For the calculated volume, the calculation gives 12.0 A^3/atom. The size of the total moment comes out at 0.0 μB per formula unit. The total energy is -4.29 eV/atom.

abc: 3.9127 3.9127 3.9127
angles: 90.00 90.00 90.00
Space group Pm-3m (No. 221)
Asymmetric unit:
Al 0.0000 0.0000 0.0000
Zn 0.5000 0.5000 0.5000
F 0.0000 0.0000 0.5000

---

VASP calculation (GGA-PBE) on a relaxed structure of AlZn2F.

For the calculated volume, the calculation gives 15.7 A^3/atom. The size of the total moment comes out at 0.0 μB per formula unit. The total energy is -2.54 eV/atom.

abc: 7.1138 7.1138 4.9621
angles: 90.00 90.00 90.00
Space group I-42d (No. 122)
Asymmetric unit:
Al 0.0000 0.0000 0.0000
Zn 0.2204 0.2500 0.6250
F 0.0000 0.0000 0.5000

---

VASP calculation (GGA-PBE) on a relaxed structure of AlZnF3.

For the calculated volume, the calculation gives 14.1 A^3/atom. The size of the total moment comes out at 0.0 μB per formula unit. The total energy is -3.93 eV/atom.

abc: 4.1293 4.1293 4.1293
angles: 90.00 90.00 90.00
Space group Pm-3m (No. 221)
Asymmetric unit:
Al 0.0000 0.0000 0.0000
Zn 0.5000 0.5000 0.5000
F 0.0000 0.5000 0.5000

---

VASP calculation (GGA-PBE) on a relaxed structure of AlZnF4.

For the calculated volume, the calculation gives 13.6 A^3/atom. The size of the total moment comes out at 0.0 μB per formula unit. The total energy is -4.74 eV/atom.

abc: 9.8443 2.8395 7.1970
angles: 90.00 125.68 90.00
Space group C2/m (No. 12)
Asymmetric unit:
Al 0.0000 0.0000 0.0000
Zn 0.0000 0.5000 0.5000
F 0.0411 0.0000 0.2788
F 0.1490 0.5000 0.0898

---

Number 1: raw formation energy -4.95 eV per formula unit. Number 2: raw formation energy -9.72 eV per formula unit. Number 3: raw formation energy -3.16 eV per formula unit. Number 4: raw formation energy -0.63 eV per formula unit. Number 5: raw formation energy -20.90 eV per formula unit. Number 6: raw formation energy -26.90 eV per formula unit. Number 7: raw formation energy 0.66 eV per formula unit. Number 8: raw formation energy -20.90 eV per formula unit. Number 9: raw formation energy -10.80 eV per formula unit. Number 10: raw formation energy -2.00 eV per formula unit. Number 11: raw formation energy -9.02 eV per formula unit. Number 12: raw formation energy -15.92 eV per formula unit.